A plane-wave DFT calculation with GGA-PBE was carried out for an optimized crystal structure of ScPtS2Cl.

Cell lengths 4.9695, 4.9695, 4.6780 Å; angles 90.00, 90.00, 90.00 degrees
Last column: nearest neighbours and their distance in Å.
Element x y z (fractional)
1 Sc 0.0000 0.0000 0.0000  2 Cl 2.34, 4 S 2.48
2 Pt 0.5000 0.5000 0.5000  8 S 3.41, 4 Cl 3.51
3 S 0.0000 0.5000 0.0000  2 Sc 2.48
4 S 0.5000 0.0000 0.0000  2 Sc 2.48
5 Cl 0.0000 0.0000 0.5000  2 Sc 2.34

Results
mass density	4.882	g cm⁻³
polymorph energy (0 for the lowest one)	146	meV/atom
E_form (uncorrected)	-0.092	eV/atom
calculated volume	115.5	Å³/f.u.
total moment	0.3	Bohr magnetons per cell